Compound: Pr8Sm3Y
Source: the Alexandria database
Functional: GGA-PBE
Structure: relaxed

Calculated values
- Energy of formation from the pure elements: 0.0300 eV/atom
- Theoretical density: 6.47 Mg/m³
- DOS(E_F): 20.91 states/eV/cell
- Magnetization: 0.00 μB per cell

abc: 8.763 8.783 8.763
angles: 94.33 136.88 101.18
Sites, in units of the cell vectors:
Pr (0.168, 0.834, 0.334)
Pr (0.165, 0.916, 0.751)
Sm (0.829, 0.500, 0.329)
Pr (0.499, 0.166, 0.334)
Sm (0.505, 0.751, 0.255)
Sm (0.505, 0.249, 0.754)
Pr (0.835, 0.585, 0.750)
Pr (0.165, 0.415, 0.249)
Pr (0.498, 0.666, 0.832)
Pr (0.167, 0.334, 0.832)
Y (0.831, 0.000, 0.831)
Pr (0.835, 0.084, 0.250)